# AlHgSe2, relaxed, DFT PBE
data_AlHgSe2
_chemical_formula_sum 'Al1 Hg1 Se2'
_symmetry_space_group_name_H-M 'P 1'
_symmetry_Int_Tables_number 1
_cell_length_a 4.9497
_cell_length_b 4.9497
_cell_length_c 4.9497
_cell_angle_alpha 60.00
_cell_angle_beta 60.00
_cell_angle_gamma 60.00
loop_
_symmetry_equiv_pos_as_xyz
'x,y,z'
loop_
_atom_site_label
_atom_site_type_symbol
_atom_site_fract_x
_atom_site_fract_y
_atom_site_fract_z
Hg1 Hg 0.7500 0.7500 0.7500
Se1 Se 0.0000 0.0000 0.0000
Se2 Se 0.2500 0.2500 0.2500
Al1 Al 0.5000 0.5000 0.5000
# Formation energy (no corrections) ... 1.171 eV/f.u.